Entry 1:
Computed, not measured: BaH3Br after structural relaxation at the PBE level of DFT.

Cell: 4.419 4.419 4.419 Å, 90.00 90.00 90.00°
Sites, in units of the cell vectors:
Ba: 0.000 0.000 0.000
H: 0.000 0.500 0.500
H: 0.500 0.000 0.500
H: 0.500 0.500 0.000
Br: 0.500 0.500 0.500

The calculation puts the density of states at the Fermi level at 1.9 states/eV/cell. The calculation puts the total energy at -2.39 eV/atom.


Entry 2:
Computed, not measured: BaHBr2 after structural relaxation at the PBE level of DFT.

Cell: 7.658 7.657 9.015 Å, 90.00 115.13 90.00°
Sites, in units of the cell vectors:
Ba: 0.000 0.000 0.000
Ba: 0.241 0.500 0.481
Ba: 0.500 0.500 0.000
Ba: 0.741 0.000 0.481
H: 0.225 0.000 0.455
H: 0.271 0.000 0.547
H: 0.725 0.500 0.455
H: 0.771 0.500 0.547
Br: 0.122 0.250 0.746
Br: 0.122 0.750 0.746
Br: 0.370 0.250 0.239
Br: 0.370 0.750 0.239
Br: 0.622 0.250 0.746
Br: 0.622 0.750 0.746
Br: 0.870 0.250 0.239
Br: 0.870 0.750 0.239

The calculation puts the density of states at the Fermi level at 0.0 states/eV/cell. The calculation puts the total energy at -3.76 eV/atom.


Entry 3:
Computed, not measured: Ba2H2Br after structural relaxation at the PBE level of DFT.

Cell: 7.992 7.992 3.692 Å, 90.00 90.00 90.00°
Sites, in units of the cell vectors:
Ba: 0.169 0.331 0.000
Ba: 0.331 0.831 0.000
Ba: 0.669 0.169 0.000
Ba: 0.831 0.669 0.000
H: 0.119 0.619 0.500
H: 0.381 0.119 0.500
H: 0.619 0.881 0.500
H: 0.881 0.381 0.500
Br: 0.000 0.000 0.500
Br: 0.500 0.500 0.500

The calculation puts the density of states at the Fermi level at 4.1 states/eV/cell. The calculation puts the total energy at -3.20 eV/atom.


Entry 4:
Computed, not measured: Ba2HfHBr after structural relaxation at the PBE level of DFT.

Cell: 6.272 6.272 3.883 Å, 90.00 90.00 90.00°
Sites, in units of the cell vectors:
Ba: 0.000 0.500 0.000
Ba: 0.500 0.000 0.000
Hf: 0.000 0.000 0.500
H: 0.000 0.000 0.000
Br: 0.500 0.500 0.500

The calculation puts the density of states at the Fermi level at 5.6 states/eV/cell. The calculation puts the total energy at -4.01 eV/atom.


Entry 5:
Computed, not measured: Ba8HIr3Br4 after structural relaxation at the PBE level of DFT.

Cell: 9.682 9.682 9.682 Å, 55.49 55.49 55.49°
Sites, in units of the cell vectors:
Ba: 0.227 0.740 0.740
Ba: 0.238 0.238 0.238
Ba: 0.260 0.260 0.773
Ba: 0.260 0.773 0.260
Ba: 0.740 0.227 0.740
Ba: 0.740 0.740 0.227
Ba: 0.762 0.762 0.762
Ba: 0.773 0.260 0.260
H: 0.500 0.500 0.500
Ir: 0.000 0.000 0.500
Ir: 0.000 0.500 0.000
Ir: 0.500 0.000 0.000
Br: 0.000 0.000 0.000
Br: 0.000 0.500 0.500
Br: 0.500 0.000 0.500
Br: 0.500 0.500 0.000

The calculation puts the density of states at the Fermi level at 7.6 states/eV/cell. The calculation puts the total energy at -4.18 eV/atom.


Entry 6:
Computed, not measured: BaMgH2Br after structural relaxation at the PBE level of DFT.

Cell: 4.873 4.873 6.524 Å, 90.00 90.00 90.00°
Sites, in units of the cell vectors:
Ba: 0.000 0.000 0.000
Mg: 0.500 0.500 0.500
H: 0.000 0.500 0.000
H: 0.500 0.000 0.000
Br: 0.000 0.000 0.500

The calculation puts the density of states at the Fermi level at 3.1 states/eV/cell. The calculation puts the total energy at -2.57 eV/atom.